Below is a relaxed Zr2PPb crystal, with properties calculated at the GGA-PBE level.

Cell and atoms, written as POSCAR:
```
Zr2PPb
1.0
-1.8295 2.7959 4.2654
1.8295 -2.7959 4.2654
1.8295 2.7959 -4.2654
Zr P Pb
2 1 1
direct
0.2058 0.2058 0.0000
0.7942 0.7942 0.0000
0.0000 0.5000 0.5000
0.5000 0.0000 0.5000
```

volume	21.82	Å³/atom
formation energy	-201	kJ/mol of formula units
energy above the lowest structure with this stoichiometry	0.3114	eV per atom
D(E_F)	0.65	states/eV per atom
calculated total energy	-7.075	eV/atom